--- w ---
Density functional theory data (PBE-GGA) for a relaxed RbTaOs crystal.

Total moment (μB per cell): 0.00

Cell: 4.643 4.643 4.643 Å, 60.00 60.00 60.00°
Fractional coordinates of all 3 atoms:
Rb  0.250  0.250  0.250
Os  0.000  0.000  0.000
Ta  0.750  0.750  0.750

***

--- x ---
Density functional theory data (PBE-GGA) for a relaxed RbTaOs crystal.

Total moment (μB per cell): 0.00

Cell: 4.533 4.533 4.533 Å, 60.00 60.00 60.00°
Fractional coordinates of all 3 atoms:
Ta  0.750  0.750  0.750
Rb  0.000  0.000  0.000
Os  0.250  0.250  0.250

***

Most stable of them? w.